Material: BaNaNi
Method: DFT, PBE-GGA
State: relaxed

```
BaNaNi
1.0
0.000 3.669 3.669
3.669 0.000 3.669
3.669 3.669 0.000
Ba Na Ni
1 1 1
Direct
0.000 0.000 0.000
0.500 0.500 0.500
0.250 0.250 0.250
```

Values from the calculation:
Its space group is No. 216. The final energy is -2.638 eV per atom.